1.
The following is a DFT calculation (PBE) of Y2CrHg after structural relaxation.

## Properties
The formation energy from the elements is 18 kJ per mole of atoms. As for the crystal system: monoclinic. Its size of the total moment is 0.903 μB per atom. The calculation puts the energy at -5.522 eV/atom. The value obtained for the volume is 105 Å³ per cell.

Cell: 5.137 5.137 6.269 Å, 78.98 78.98 40.46°
Positions (direct):
Y (0.501, 0.501, 0.506)
Y (0.999, 0.999, 0.994)
Hg (0.250, 0.250, 0.250)
Cr (0.750, 0.750, 0.750)

2.
The following is a DFT calculation (PBE) of YCrHg2 after structural relaxation.

## Properties
The formation energy from the elements is 8 kJ per mole of atoms. As for the crystal system: tetragonal. Its size of the total moment is 0.944 μB per atom. The calculation puts the energy at -4.090 eV/atom. The value obtained for the volume is 92 Å³ per cell.

Cell: 3.721 3.730 6.606 Å, 90.00 90.00 90.00°
Positions (direct):
Y (0.000, 0.000, 0.505)
Hg (0.500, 0.500, 0.244)
Hg (0.000, 0.000, 0.975)
Cr (0.500, 0.500, 0.777)

3.
The following is a DFT calculation (PBE) of YCrHg after structural relaxation.

## Properties
The formation energy from the elements is 10 kJ per mole of atoms. As for the crystal system: tetragonal. Its size of the total moment is 1.391 μB per atom. The calculation puts the energy at -5.357 eV/atom. The value obtained for the volume is 68 Å³ per cell.

Cell: 5.517 5.517 5.517 Å, 140.27 140.27 57.45°
Positions (direct):
Hg (0.344, 0.344, 0.000)
Y (0.664, 0.664, 0.000)
Cr (0.993, 0.993, 0.000)

4.
The following is a DFT calculation (PBE) of YCrHg2 after structural relaxation.

## Properties
The formation energy from the elements is 3 kJ per mole of atoms. As for the crystal system: tetragonal. Its size of the total moment is 0.948 μB per atom. The calculation puts the energy at -4.143 eV/atom. The value obtained for the volume is 90 Å³ per cell.

Cell: 4.548 4.548 4.366 Å, 90.00 90.00 89.99°
Positions (direct):
Y (0.500, 0.000, 0.500)
Cr (0.000, 0.500, 0.500)
Hg (0.500, 0.500, 0.000)
Hg (0.000, 0.000, 0.000)

5.
The following is a DFT calculation (PBE) of YCrHg2 after structural relaxation.

## Properties
The formation energy from the elements is 16 kJ per mole of atoms. As for the crystal system: trigonal. Its size of the total moment is 1.063 μB per atom. The calculation puts the energy at -4.006 eV/atom. The value obtained for the volume is 99 Å³ per cell.

Cell: 8.713 8.713 8.713 Å, 24.34 24.34 24.34°
Positions (direct):
Cr (0.750, 0.750, 0.750)
Hg (0.007, 0.007, 0.007)
Y (0.250, 0.250, 0.250)
Hg (0.493, 0.493, 0.493)

6.
The following is a DFT calculation (PBE) of Y2CrHg after structural relaxation.

## Properties
The formation energy from the elements is 15 kJ per mole of atoms. As for the crystal system: trigonal. Its size of the total moment is 0.835 μB per atom. The calculation puts the energy at -5.555 eV/atom. The value obtained for the volume is 104 Å³ per cell.

Cell: 9.327 9.327 9.327 Å, 22.44 22.44 22.44°
Positions (direct):
Y (0.996, 0.996, 0.996)
Cr (0.250, 0.250, 0.250)
Y (0.504, 0.504, 0.504)
Hg (0.750, 0.750, 0.750)

7.
The following is a DFT calculation (PBE) of YCrHg2 after structural relaxation.

## Properties
The formation energy from the elements is 5 kJ per mole of atoms. As for the crystal system: cubic. Its size of the total moment is 1.214 μB per atom. The calculation puts the energy at -4.117 eV/atom. The value obtained for the volume is 88 Å³ per cell.

Cell: 4.997 4.997 4.997 Å, 60.00 60.00 60.00°
Positions (direct):
Y (0.750, 0.750, 0.750)
Hg (0.250, 0.250, 0.250)
Hg (0.000, 0.000, 0.000)
Cr (0.500, 0.500, 0.500)

8.
The following is a DFT calculation (PBE) of Y2CrHg after structural relaxation.

## Properties
The formation energy from the elements is 4 kJ per mole of atoms. As for the crystal system: monoclinic. Its size of the total moment is 0.791 μB per atom. The calculation puts the energy at -5.673 eV/atom. The value obtained for the volume is 99 Å³ per cell.

Cell: 6.069 6.069 5.073 Å, 70.52 70.52 34.59°
Positions (direct):
Y (0.985, 0.985, 0.033)
Y (0.765, 0.765, 0.716)
Hg (0.227, 0.227, 0.247)
Cr (0.524, 0.524, 0.504)

9.
The following is a DFT calculation (PBE) of Y2CrHg after structural relaxation.

## Properties
The formation energy from the elements is 9 kJ per mole of atoms. As for the crystal system: tetragonal. Its size of the total moment is 0.851 μB per atom. The calculation puts the energy at -5.622 eV/atom. The value obtained for the volume is 97 Å³ per cell.

Cell: 5.779 5.779 5.779 Å, 134.45 134.45 66.39°
Positions (direct):
Hg (0.750, 0.250, 0.500)
Cr (0.500, 0.500, 0.000)
Y (0.000, 0.000, 0.000)
Y (0.250, 0.750, 0.500)

10.
The following is a DFT calculation (PBE) of YCrHg after structural relaxation.

## Properties
The formation energy from the elements is 61 kJ per mole of atoms. As for the crystal system: cubic. Its size of the total moment is 1.242 μB per atom. The calculation puts the energy at -4.833 eV/atom. The value obtained for the volume is 82 Å³ per cell.

Cell: 4.884 4.884 4.884 Å, 60.00 60.00 60.00°
Positions (direct):
Y (0.750, 0.750, 0.750)
Hg (0.500, 0.500, 0.500)
Cr (0.000, 0.000, 0.000)

11.
The following is a DFT calculation (PBE) of YCrHg2 after structural relaxation.

## Properties
The formation energy from the elements is 25 kJ per mole of atoms. As for the crystal system: trigonal. Its size of the total moment is 0.879 μB per atom. The calculation puts the energy at -3.917 eV/atom. The value obtained for the volume is 98 Å³ per cell.

Cell: 9.230 9.230 9.230 Å, 22.19 22.19 22.19°
Positions (direct):
Hg (0.253, 0.253, 0.253)
Hg (0.005, 0.005, 0.005)
Cr (0.745, 0.745, 0.745)
Y (0.497, 0.497, 0.497)

12.
The following is a DFT calculation (PBE) of YCr3Hg after structural relaxation.

## Properties
The formation energy from the elements is 181 kJ per mole of atoms. As for the crystal system: cubic. Its size of the total moment is 2.188 μB per atom. The calculation puts the energy at -5.256 eV/atom. The value obtained for the volume is 123 Å³ per cell.

Cell: 4.977 4.977 4.977 Å, 90.00 90.00 90.00°
Positions (direct):
Cr (0.000, 0.500, 0.000)
Y (0.000, 0.000, 0.000)
Cr (0.500, 0.000, 0.000)
Cr (0.000, 0.000, 0.500)
Hg (0.500, 0.500, 0.500)

13.
The following is a DFT calculation (PBE) of Y2CrHg after structural relaxation.

## Properties
The formation energy from the elements is 36 kJ per mole of atoms. As for the crystal system: tetragonal. Its size of the total moment is 0.739 μB per atom. The calculation puts the energy at -5.340 eV/atom. The value obtained for the volume is 214 Å³ per cell.

Cell: 8.040 8.040 6.576 Å, 52.32 52.32 90.00°
Positions (direct):
Cr (0.250, 0.750, 0.500)
Y (0.875, 0.868, 0.750)
Y (0.132, 0.625, 0.250)
Y (0.375, 0.382, 0.750)
Y (0.618, 0.125, 0.250)
Hg (0.000, 0.000, 0.000)
Hg (0.750, 0.250, 0.500)
Cr (0.500, 0.500, 0.000)

14.
The following is a DFT calculation (PBE) of YCrHg2 after structural relaxation.

## Properties
The formation energy from the elements is -1 kJ per mole of atoms. As for the crystal system: orthorhombic. Its size of the total moment is 0.944 μB per atom. The calculation puts the energy at -4.188 eV/atom. The value obtained for the volume is 89 Å³ per cell.

Cell: 3.563 3.544 7.886 Å, 63.29 90.00 90.00°
Positions (direct):
Cr (0.500, 0.750, 0.750)
Hg (0.000, 0.470, 0.530)
Y (0.500, 0.250, 0.250)
Hg (0.000, 0.030, 0.970)

15.
The following is a DFT calculation (PBE) of Y2CrHg after structural relaxation.

## Properties
The formation energy from the elements is -2 kJ per mole of atoms. As for the crystal system: monoclinic. Its size of the total moment is 0.905 μB per atom. The calculation puts the energy at -5.731 eV/atom. The value obtained for the volume is 101 Å³ per cell.

Cell: 4.790 3.636 6.059 Å, 72.47 90.00 90.00°
Positions (direct):
Cr (0.000, 0.699, 0.477)
Hg (0.500, 0.552, 0.770)
Y (0.000, 0.970, 0.934)
Y (0.500, 0.278, 0.319)

16.
The following is a DFT calculation (PBE) of YZrCrHg2 after structural relaxation.

## Properties
The formation energy from the elements is 125 kJ per mole of atoms. As for the crystal system: tetragonal. Its size of the total moment is 0.960 μB per atom. The calculation puts the energy at -3.753 eV/atom. The value obtained for the volume is 166 Å³ per cell.

Cell: 5.611 5.278 5.611 Å, 90.00 90.00 90.00°
Positions (direct):
Hg (0.000, 0.000, 0.500)
Cr (0.500, 0.500, 0.500)
Y (0.000, 0.000, 0.000)
Zr (0.000, 0.500, 0.000)
Hg (0.500, 0.000, 0.000)

17.
The following is a DFT calculation (PBE) of Zn2CrHg after structural relaxation.

## Properties
The formation energy from the elements is 25 kJ per mole of atoms. As for the crystal system: cubic. Its size of the total moment is 0.933 μB per atom. The calculation puts the energy at -2.864 eV/atom. The value obtained for the volume is 66 Å³ per cell.

Cell: 4.546 4.546 4.546 Å, 60.00 60.00 60.00°
Positions (direct):
Hg (0.500, 0.500, 0.500)
Zn (0.750, 0.750, 0.750)
Zn (0.250, 0.250, 0.250)
Cr (0.000, 0.000, 0.000)

18.
The following is a DFT calculation (PBE) of Zn2CrHg after structural relaxation.

## Properties
The formation energy from the elements is 25 kJ per mole of atoms. As for the crystal system: tetragonal. Its size of the total moment is 0.914 μB per atom. The calculation puts the energy at -2.862 eV/atom. The value obtained for the volume is 68 Å³ per cell.

Cell: 3.179 3.179 6.704 Å, 90.00 90.00 90.00°
Positions (direct):
Hg (0.500, 0.500, 0.748)
Zn (0.500, 0.500, 0.249)
Cr (0.000, 0.000, 0.470)
Zn (0.000, 0.000, 0.033)

19.
The following is a DFT calculation (PBE) of Zn4CrHg after structural relaxation.

## Properties
The formation energy from the elements is 18 kJ per mole of atoms. As for the crystal system: cubic. Its size of the total moment is 0.674 μB per atom. The calculation puts the energy at -2.318 eV/atom. The value obtained for the volume is 97 Å³ per cell.

Cell: 5.161 5.161 5.161 Å, 60.00 60.00 60.00°
Positions (direct):
Zn (0.127, 0.624, 0.624)
Zn (0.624, 0.624, 0.624)
Cr (0.250, 0.250, 0.250)
Zn (0.624, 0.624, 0.127)
Hg (0.000, 0.000, 0.000)
Zn (0.624, 0.127, 0.624)

20.
The following is a DFT calculation (PBE) of Zn2CrHg after structural relaxation.

## Properties
The formation energy from the elements is 36 kJ per mole of atoms. As for the crystal system: trigonal. Its size of the total moment is 0.000 μB per atom. The calculation puts the energy at -2.745 eV/atom. The value obtained for the volume is 66 Å³ per cell.

Cell: 9.691 9.691 9.691 Å, 16.74 16.74 16.74°
Positions (direct):
Cr (0.250, 0.250, 0.250)
Zn (0.512, 0.512, 0.512)
Hg (0.750, 0.750, 0.750)
Zn (0.988, 0.988, 0.988)